DFT (GGA-PBE) results for an optimized crystal structure of Tb2Si3Ir2.

abc: 10.206 4.125 6.641
angles: 90.00 116.23 90.00
Space group C2/m (No. 12)
One atom of each set of equivalent atoms:
Tb 0.149 0.000 0.272 (multiplicity 4)
Si 0.000 0.500 0.500 (multiplicity 2)
Si 0.125 0.500 0.937 (multiplicity 4)
Ir 0.135 0.000 0.726 (multiplicity 4)

Output
* total magnetization: 0.000 μB per formula unit
* final energy: -7.00 eV per atom
* formation energy from raw total energies: -821.4 meV/atom
* E above lowest polymorph: 0.086 eV per atom
* D(E_F): 6.6 states/eV/cell